# Fe3CoBi4O12

An optimized crystal structure of Fe3CoBi4O12 (GGA+U, the Alexandria database).

As for the total energy: -6.10 eV per atom. The magnetic moment comes out at 16.97 μB per formula unit.

abc: 5.6442 5.6569 9.6521
angles: 89.13 73.37 60.82
Atoms (fractional coordinates):
1 Fe 0.0000 0.0000 0.0000
2 Fe 0.0048 0.4860 0.5026
3 Fe 0.5054 0.7409 0.2506
4 Co 0.4882 0.2466 0.7542
5 Bi 0.3361 0.3280 0.1109
6 Bi 0.3386 0.8197 0.6153
7 Bi 0.8309 0.5841 0.8602
8 Bi 0.8399 0.0678 0.3638
9 O 0.1910 0.6861 0.8450
10 O 0.1980 0.8263 0.1445
11 O 0.2031 0.1638 0.3482
12 O 0.2049 0.6884 0.4168
13 O 0.2086 0.3176 0.6483
14 O 0.2179 0.1901 0.9149
15 O 0.6936 0.8845 0.0944
16 O 0.6953 0.2287 0.8891
17 O 0.6970 0.3636 0.5975
18 O 0.7080 0.3490 0.1617
19 O 0.7087 0.8260 0.6674
20 O 0.7108 0.7093 0.3920